No. 1
Material: CoSiGeW2
Method: DFT, GGA-PBEsol
State: relaxed

Cell: 4.5744 4.5744 4.3649 Å, 90.00 90.00 90.00°
With the nearest neighbours (Å) after each atom.
Space group P4/mmm (No. 123)
Unique sites:
Co  0.0000  0.0000  0.0000 (multiplicity 1)  8 W 3.16, 4 Si 3.23
Si  0.5000  0.5000  0.0000 (multiplicity 1)  2 Ge 2.18
Ge  0.5000  0.5000  0.5000 (multiplicity 1)  2 Si 2.18, 4 W 2.29
W  0.0000  0.5000  0.5000 (multiplicity 2)  2 Ge 2.29

## Properties
ΔE_f (raw) ... 2.1162 eV per atom
DOS(E_F) ... 8.5 states/eV/f.u.
Electronic total energy ... -7.0914 eV/atom

No. 2
Material: Sm2Co3Ge5
Method: DFT, GGA-PBEsol
State: relaxed

Cell: 11.0034 11.7330 5.7042 Å, 90.00 119.49 90.00°
With the nearest neighbours (Å) after each atom.
Space group C2/c (No. 15)
Unique sites:
Sm  0.2340  0.1375  0.2341 (multiplicity 8)  10 Ge 2.88-3.22, 4 Co 3.05-3.21
Co  0.0000  0.4952  0.7500 (multiplicity 4)  5 Ge 2.39-2.49
Co  0.0987  0.1386  0.6211 (multiplicity 8)  5 Ge 2.31-2.40
Ge  0.0000  0.0091  0.2500 (multiplicity 4)  4 Co 2.35-2.39
Ge  0.0000  0.2690  0.2500 (multiplicity 4)  2 Co 2.40, 2 Ge 2.64
Ge  0.0000  0.2830  0.7500 (multiplicity 4)  3 Co 2.32-2.49
Ge  0.1662  0.4061  0.1711 (multiplicity 8)  3 Co 2.31-2.42

## Properties
DOS(E_F) ... 5.5 states/eV/f.u.
Electronic total energy ... -6.4749 eV/atom

No. 3
Material: Co3SnGe
Method: DFT, GGA-PBEsol
State: relaxed

Cell: 4.2500 4.2500 4.2500 Å, 90.00 90.00 90.00°
With the nearest neighbours (Å) after each atom.
Space group Pm-3m (No. 221)
Unique sites:
Co  0.0000  0.0000  0.5000 (multiplicity 3)  2 Ge 2.13
Sn  0.5000  0.5000  0.5000 (multiplicity 1)  12 Co 3.01
Ge  0.0000  0.0000  0.0000 (multiplicity 1)  6 Co 2.13

## Properties
DOS(E_F) ... 4.5 states/eV/f.u.
Electronic total energy ... -5.8616 eV/atom

No. 4
Material: TlCo2SnGe
Method: DFT, GGA-PBEsol
State: relaxed

Cell: 4.7744 4.7744 5.0862 Å, 90.00 90.00 90.00°
With the nearest neighbours (Å) after each atom.
Space group P4/mmm (No. 123)
Unique sites:
Tl  0.0000  0.0000  0.0000 (multiplicity 1)  4 Co 2.39, 2 Ge 2.54
Co  0.0000  0.5000  0.0000 (multiplicity 2)  2 Tl 2.39
Sn  0.5000  0.5000  0.5000 (multiplicity 1)  4 Ge 3.38, 8 Co 3.49
Ge  0.0000  0.0000  0.5000 (multiplicity 1)  2 Tl 2.54

## Properties
DOS(E_F) ... 8.9 states/eV/f.u.
Electronic total energy ... -4.0606 eV/atom

No. 5
Material: SrCo3Ge
Method: DFT, GGA-PBEsol
State: relaxed

Cell: 4.4393 4.4393 4.4393 Å, 90.00 90.00 90.00°
With the nearest neighbours (Å) after each atom.
Space group Pm-3m (No. 221)
Unique sites:
Sr  0.0000  0.0000  0.0000 (multiplicity 1)  12 Co 3.14
Co  0.0000  0.5000  0.5000 (multiplicity 3)  2 Ge 2.22
Ge  0.5000  0.5000  0.5000 (multiplicity 1)  6 Co 2.22

## Properties
DOS(E_F) ... 10.4 states/eV/f.u.
Electronic total energy ... -5.5029 eV/atom

No. 6
Material: TbCo2Ge2
Method: DFT, GGA-PBEsol
State: relaxed

Cell: 3.9047 3.9047 9.9984 Å, 90.00 90.00 90.00°
With the nearest neighbours (Å) after each atom.
Space group I4/mmm (No. 139)
Unique sites:
Tb  0.0000  0.0000  0.0000 (multiplicity 2)  8 Ge 3.04, 8 Co 3.17
Co  0.0000  0.5000  0.2500 (multiplicity 4)  4 Ge 2.30
Ge  0.0000  0.0000  0.3721 (multiplicity 4)  4 Co 2.30, 1 Ge 2.56

## Properties
DOS(E_F) ... 2.8 states/eV/f.u.
Electronic total energy ... -6.7505 eV/atom

No. 7
Material: Tb3Co2Ge3
Method: DFT, GGA-PBEsol
State: relaxed

Cell: 4.1234 10.3186 13.8584 Å, 90.00 90.00 90.00°
With the nearest neighbours (Å) after each atom.
Space group Cmcm (No. 63)
Unique sites:
Tb  0.0000  0.0813  0.1094 (multiplicity 8)  7 Ge 2.96-3.17, 4 Co 2.99-3.15
Tb  0.0000  0.3602  0.2500 (multiplicity 4)  5 Ge 2.89-3.13, 4 Co 3.03
Co  0.0000  0.2077  0.5975 (multiplicity 8)  4 Ge 2.35-2.51
Ge  0.0000  0.3363  0.7500 (multiplicity 4)  2 Co 2.50
Ge  0.0000  0.3685  0.0389 (multiplicity 8)  3 Co 2.35-2.51

## Properties
DOS(E_F) ... 5.9 states/eV/f.u.
Electronic total energy ... -6.4265 eV/atom

No. 8
Material: CoGeTe
Method: DFT, GGA-PBEsol
State: relaxed

Cell: 6.1095 6.1501 10.9890 Å, 90.00 90.00 90.00°
With the nearest neighbours (Å) after each atom.
Space group Pbca (No. 61)
Unique sites:
Co  0.0023  0.1073  0.1112 (multiplicity 8)  3 Ge 2.33-2.35, 3 Te 2.53-2.56
Ge  0.1681  0.2262  0.9318 (multiplicity 8)  3 Co 2.33-2.35
Te  0.1187  0.0125  0.6762 (multiplicity 8)  3 Co 2.53-2.56, 1 Ge 2.75

## Properties
ΔE_f (raw) ... -0.2958 eV per atom
DOS(E_F) ... 0.2 states/eV/f.u.
Electronic total energy ... -5.6965 eV/atom

No. 9
Material: ThCoGe2
Method: DFT, GGA-PBEsol
State: relaxed

Cell: 4.1445 16.5464 4.1943 Å, 90.00 90.00 90.00°
With the nearest neighbours (Å) after each atom.
Space group Cmcm (No. 63)
Unique sites:
Th  0.0000  0.1094  0.2500 (multiplicity 4)  10 Ge 3.12-3.26, 5 Co 3.17-3.48
Co  0.0000  0.3197  0.2500 (multiplicity 4)  5 Ge 2.28-2.39
Ge  0.0000  0.2498  0.7500 (multiplicity 4)  4 Co 2.37-2.39
Ge  0.0000  0.4573  0.2500 (multiplicity 4)  1 Co 2.28, 2 Ge 2.53

## Properties
DOS(E_F) ... 2.2 states/eV/f.u.
Electronic total energy ... -7.1783 eV/atom

No. 10
Material: Ti3CoGe
Method: DFT, GGA-PBEsol
State: relaxed

Cell: 4.3941 4.3941 4.3941 Å, 90.00 90.00 90.00°
With the nearest neighbours (Å) after each atom.
Space group Pm-3m (No. 221)
Unique sites:
Ti  0.0000  0.0000  0.5000 (multiplicity 3)  2 Co 2.20
Co  0.0000  0.0000  0.0000 (multiplicity 1)  6 Ti 2.20
Ge  0.5000  0.5000  0.5000 (multiplicity 1)  12 Ti 3.11

## Properties
DOS(E_F) ... 5.4 states/eV/f.u.
Electronic total energy ... -7.4848 eV/atom

No. 11
Material: Ti6Co16Ge7
Method: DFT, GGA-PBEsol
State: relaxed

Cell: 11.1559 11.1559 11.1559 Å, 90.00 90.00 90.00°
With the nearest neighbours (Å) after each atom.
Space group Fm-3m (No. 225)
Unique sites:
Ti  0.0000  0.0000  0.1999 (multiplicity 24)  8 Co 2.65-2.76, 4 Ge 2.84
Co  0.1200  0.1200  0.3800 (multiplicity 32)  4 Ge 2.32-2.45, 3 Co 2.49
Co  0.1663  0.1663  0.1663 (multiplicity 32)  3 Ge 2.28, 3 Co 2.49
Ge  0.0000  0.0000  0.5000 (multiplicity 4)  8 Co 2.32
Ge  0.0000  0.2500  0.2500 (multiplicity 24)  8 Co 2.28-2.45

## Properties
DOS(E_F) ... 23.0 states/eV/f.u.
Electronic total energy ... -7.6300 eV/atom

No. 12
Material: TmCoGe
Method: DFT, GGA-PBEsol
State: relaxed

Cell: 6.7064 4.1440 6.9985 Å, 90.00 90.00 90.00°
With the nearest neighbours (Å) after each atom.
Space group Pnma (No. 62)
Unique sites:
Tm  0.0106  0.2500  0.1966 (multiplicity 4)  4 Co 2.81-2.91, 6 Ge 2.88-3.13
Co  0.1542  0.7500  0.4338 (multiplicity 4)  4 Ge 2.41-2.50
Ge  0.2038  0.2500  0.6036 (multiplicity 4)  4 Co 2.41-2.50

## Properties
DOS(E_F) ... 1.8 states/eV/f.u.
Electronic total energy ... -6.6083 eV/atom